1.
This record from Alexandria via LeMat-Bulk describes crystalline LiTi2Ru2 at its relaxed geometry. The functional is PBE.

abc: 7.216 7.216 3.021
angles: 90.00 90.00 90.00
Fractional coordinates of all 10 atoms:
Li: 0.000 0.000 0.000
Li: 0.500 0.500 0.000
Ti: 0.151 0.349 0.500
Ti: 0.349 0.849 0.500
Ti: 0.651 0.151 0.500
Ti: 0.849 0.651 0.500
Ru: 0.145 0.645 0.000
Ru: 0.355 0.145 0.000
Ru: 0.645 0.855 0.000
Ru: 0.855 0.355 0.000

Properties
The magnetization comes out at 0.0 Bohr magnetons per cell. As for the formation energy: -0.27 eV per atom. The symmetry is No. 127. The energy above the most stable polymorph in this dataset comes out at 0.0 meV/atom. Its total energy is -7.52 eV/atom. As for the volume: 157 Å³ per cell.

***

2.
This record from Alexandria via LeMat-Bulk describes crystalline LiTiRu3 at its relaxed geometry. The functional is PBE.

abc: 4.108 4.108 4.108
angles: 90.00 90.00 90.00
Fractional coordinates of all 5 atoms:
Li: 0.000 0.000 0.000
Ti: 0.500 0.500 0.500
Ru: 0.000 0.000 0.500
Ru: 0.000 0.500 0.000
Ru: 0.500 0.000 0.000

Properties
The magnetization comes out at 0.0 Bohr magnetons per cell. As for the formation energy: 0.66 eV per atom. The symmetry is No. 221. The energy above the most stable polymorph in this dataset comes out at 0.0 meV/atom. Its total energy is -6.87 eV/atom. As for the volume: 69 Å³ per cell.

***

3.
This record from Alexandria via LeMat-Bulk describes crystalline LiTiRu3 at its relaxed geometry. The functional is PBE.

abc: 4.551 4.551 4.551
angles: 90.00 90.00 90.00
Fractional coordinates of all 5 atoms:
Li: 0.000 0.000 0.000
Ti: 0.500 0.500 0.500
Ru: 0.000 0.500 0.500
Ru: 0.500 0.000 0.500
Ru: 0.500 0.500 0.000

Properties
The magnetization comes out at 2.2 Bohr magnetons per cell. As for the formation energy: 1.06 eV per atom. The symmetry is No. 221. The energy above the most stable polymorph in this dataset comes out at 406.9 meV/atom. Its total energy is -6.46 eV/atom. As for the volume: 94 Å³ per cell.

***

4.
This record from Alexandria via LeMat-Bulk describes crystalline Li2TiRu2 at its relaxed geometry. The functional is PBE.

abc: 6.435 6.435 3.431
angles: 90.00 90.00 90.00
Fractional coordinates of all 10 atoms:
Li: 0.155 0.345 0.000
Li: 0.345 0.845 0.000
Li: 0.655 0.155 0.000
Li: 0.845 0.655 0.000
Ti: 0.000 0.000 0.500
Ti: 0.500 0.500 0.500
Ru: 0.144 0.644 0.500
Ru: 0.356 0.144 0.500
Ru: 0.644 0.856 0.500
Ru: 0.856 0.356 0.500

Properties
The magnetization comes out at 0.0 Bohr magnetons per cell. As for the formation energy: 0.27 eV per atom. The symmetry is No. 127. The energy above the most stable polymorph in this dataset comes out at 80.5 meV/atom. Its total energy is -5.79 eV/atom. As for the volume: 142 Å³ per cell.

***

5.
This record from Alexandria via LeMat-Bulk describes crystalline Li2TiRu2 at its relaxed geometry. The functional is PBE.

abc: 3.124 3.124 14.362
angles: 90.00 90.00 90.00
Fractional coordinates of all 10 atoms:
Li: 0.000 0.500 0.250
Li: 0.000 0.500 0.750
Li: 0.500 0.000 0.250
Li: 0.500 0.000 0.750
Ti: 0.000 0.000 0.000
Ti: 0.500 0.500 0.500
Ru: 0.000 0.000 0.401
Ru: 0.000 0.000 0.599
Ru: 0.500 0.500 0.099
Ru: 0.500 0.500 0.901

Properties
The magnetization comes out at 0.0 Bohr magnetons per cell. As for the formation energy: 0.19 eV per atom. The symmetry is No. 139. The energy above the most stable polymorph in this dataset comes out at 0.0 meV/atom. Its total energy is -5.87 eV/atom. As for the volume: 140 Å³ per cell.

***

6.
This record from Alexandria via LeMat-Bulk describes crystalline LiTi2Ru2 at its relaxed geometry. The functional is PBE.

abc: 7.296 7.296 2.965
angles: 90.00 90.00 90.00
Fractional coordinates of all 10 atoms:
Li: 0.000 0.000 0.000
Li: 0.500 0.500 0.000
Ti: 0.145 0.355 0.000
Ti: 0.355 0.855 0.000
Ti: 0.645 0.145 0.000
Ti: 0.855 0.645 0.000
Ru: 0.149 0.649 0.500
Ru: 0.351 0.149 0.500
Ru: 0.649 0.851 0.500
Ru: 0.851 0.351 0.500

Properties
The magnetization comes out at 0.0 Bohr magnetons per cell. As for the formation energy: -0.23 eV per atom. The symmetry is No. 127. The energy above the most stable polymorph in this dataset comes out at 41.5 meV/atom. Its total energy is -7.48 eV/atom. As for the volume: 158 Å³ per cell.

***

7.
This record from Alexandria via LeMat-Bulk describes crystalline Li2TiRu at its relaxed geometry. The functional is PBE.

abc: 3.498 3.498 20.214
angles: 90.00 90.00 90.00
Fractional coordinates of all 16 atoms:
Li: 0.232 0.250 0.125
Li: 0.250 0.732 0.375
Li: 0.250 0.768 0.875
Li: 0.268 0.250 0.625
Li: 0.732 0.750 0.625
Li: 0.750 0.232 0.875
Li: 0.750 0.268 0.375
Li: 0.768 0.750 0.125
Ti: 0.000 0.000 0.500
Ti: 0.000 0.500 0.750
Ti: 0.500 0.000 0.250
Ti: 0.500 0.500 0.000
Ru: 0.000 0.000 0.000
Ru: 0.000 0.500 0.250
Ru: 0.500 0.000 0.750
Ru: 0.500 0.500 0.500

Properties
The magnetization comes out at 0.0 Bohr magnetons per cell. As for the formation energy: 0.10 eV per atom. The symmetry is No. 122. The energy above the most stable polymorph in this dataset comes out at 0.0 meV/atom. Its total energy is -5.15 eV/atom. As for the volume: 247 Å³ per cell.

***

8.
This record from Alexandria via LeMat-Bulk describes crystalline Li2TiRu at its relaxed geometry. The functional is PBE.

abc: 5.961 5.961 5.961
angles: 90.00 90.00 90.00
Fractional coordinates of all 16 atoms:
Li: 0.250 0.250 0.250
Li: 0.250 0.250 0.750
Li: 0.250 0.750 0.250
Li: 0.250 0.750 0.750
Li: 0.750 0.250 0.250
Li: 0.750 0.250 0.750
Li: 0.750 0.750 0.250
Li: 0.750 0.750 0.750
Ti: 0.000 0.000 0.000
Ti: 0.000 0.500 0.500
Ti: 0.500 0.000 0.500
Ti: 0.500 0.500 0.000
Ru: 0.000 0.000 0.500
Ru: 0.000 0.500 0.000
Ru: 0.500 0.000 0.000
Ru: 0.500 0.500 0.500

Properties
The magnetization comes out at 0.0 Bohr magnetons per cell. As for the formation energy: 0.30 eV per atom. The symmetry is No. 225. The energy above the most stable polymorph in this dataset comes out at 192.2 meV/atom. Its total energy is -4.95 eV/atom. As for the volume: 212 Å³ per cell.

***

9.
This record from Alexandria via LeMat-Bulk describes crystalline LiYTiRu at its relaxed geometry. The functional is PBE.

abc: 6.591 6.591 6.591
angles: 90.00 90.00 90.00
Fractional coordinates of all 16 atoms:
Li: 0.000 0.000 0.000
Li: 0.000 0.500 0.500
Li: 0.500 0.000 0.500
Li: 0.500 0.500 0.000
Y: 0.250 0.250 0.750
Y: 0.250 0.750 0.250
Y: 0.750 0.250 0.250
Y: 0.750 0.750 0.750
Ti: 0.250 0.250 0.250
Ti: 0.250 0.750 0.750
Ti: 0.750 0.250 0.750
Ti: 0.750 0.750 0.250
Ru: 0.000 0.000 0.500
Ru: 0.000 0.500 0.000
Ru: 0.500 0.000 0.000
Ru: 0.500 0.500 0.500

Properties
The magnetization comes out at 0.0 Bohr magnetons per cell. As for the formation energy: -0.15 eV per atom. The symmetry is No. 216. Its total energy is -6.54 eV/atom. As for the volume: 286 Å³ per cell.

***

10.
This record from Alexandria via LeMat-Bulk describes crystalline LiTl2Ru at its relaxed geometry. The functional is PBE.

abc: 4.392 4.392 18.768
angles: 90.00 90.00 90.00
Fractional coordinates of all 16 atoms:
Li: 0.000 0.000 0.000
Li: 0.000 0.500 0.250
Li: 0.500 0.000 0.750
Li: 0.500 0.500 0.500
Tl: 0.242 0.250 0.625
Tl: 0.250 0.742 0.875
Tl: 0.250 0.758 0.375
Tl: 0.258 0.250 0.125
Tl: 0.742 0.750 0.125
Tl: 0.750 0.242 0.375
Tl: 0.750 0.258 0.875
Tl: 0.758 0.750 0.625
Ru: 0.000 0.000 0.500
Ru: 0.000 0.500 0.750
Ru: 0.500 0.000 0.250
Ru: 0.500 0.500 0.000

Properties
The magnetization comes out at 4.7 Bohr magnetons per cell. As for the formation energy: 0.59 eV per atom. The symmetry is No. 122. The energy above the most stable polymorph in this dataset comes out at 418.7 meV/atom. Its total energy is -3.39 eV/atom. As for the volume: 362 Å³ per cell.

***

11.
This record from Alexandria via LeMat-Bulk describes crystalline LiTlRu at its relaxed geometry. The functional is PBE.

abc: 2.975 4.004 8.553
angles: 90.00 90.00 90.00
Fractional coordinates of all 6 atoms:
Li: 0.000 0.000 0.000
Li: 0.500 0.500 0.500
Tl: 0.000 0.000 0.325
Tl: 0.500 0.500 0.825
Ru: 0.000 0.000 0.657
Ru: 0.500 0.500 0.157

Properties
The magnetization comes out at 1.7 Bohr magnetons per cell. As for the formation energy: 0.33 eV per atom. The symmetry is No. 44. The energy above the most stable polymorph in this dataset comes out at 11.4 meV/atom. Its total energy is -4.19 eV/atom. As for the volume: 102 Å³ per cell.

***

12.
This record from Alexandria via LeMat-Bulk describes crystalline LiTlRu4 at its relaxed geometry. The functional is PBE.

abc: 5.189 5.189 5.189
angles: 60.00 60.00 60.00
Fractional coordinates of all 6 atoms:
Li: 0.000 0.000 0.000
Tl: 0.250 0.250 0.250
Ru: 0.125 0.625 0.625
Ru: 0.625 0.125 0.625
Ru: 0.625 0.625 0.125
Ru: 0.625 0.625 0.625

Properties
The magnetization comes out at 2.6 Bohr magnetons per cell. As for the formation energy: 0.51 eV per atom. The symmetry is No. 216. Its total energy is -6.39 eV/atom. As for the volume: 99 Å³ per cell.